1.
Na2AcSi6 | Alexandria | PBE | relaxed; uncorrected formation energy = -4.9 meV/atom; total energy = -4.37 eV per atom; DOS at the Fermi energy = 1.6 states/eV/f.u.; space group = Immm (71)
1.0
3.918 0.000 0.000
1.959 7.085 -0.240
1.959 1.163 6.993
Si Na Ac
6 2 1
direct
0.500 0.630 0.370
0.680 0.589 0.050
0.320 0.411 0.950
0.680 0.050 0.589
0.500 0.370 0.630
0.320 0.950 0.411
0.163 0.337 0.337
0.837 0.663 0.663
0.000 0.000 0.000



2.
NaSrAcSi | Alexandria | PBE | relaxed; uncorrected formation energy = -90.3 meV/atom; total energy = -3.22 eV per atom; DOS at the Fermi energy = 2.7 states/eV/f.u.; space group = F-43m (216)
1.0
-2.413 -4.966 -1.017
3.183 -4.540 -0.884
0.218 -4.070 3.861
Sr Ac Na Si
1 1 1 1
direct
0.500 0.500 0.500
0.000 0.000 0.000
0.250 0.250 0.250
0.750 0.750 0.750



3.
NaAcZnSi | Alexandria | PBE | relaxed; uncorrected formation energy = -163.4 meV/atom; total energy = -3.19 eV per atom; DOS at the Fermi energy = 1.0 states/eV/f.u.; space group = F-43m (216)
1.0
5.279 0.000 0.000
2.639 4.571 0.000
2.639 1.524 4.310
Ac Si Na Zn
1 1 1 1
direct
0.000 0.000 0.000
0.250 0.250 0.250
0.500 0.500 0.500
0.750 0.750 0.750



4.
NaAcSm2 | Alexandria | PBE | relaxed; DFT formation energy = 0.20 eV/atom; total energy = -3.52 eV per atom; energy above the most stable polymorph in this dataset = 4.1 kJ/mol of atoms; DOS at the Fermi energy = 5.4 states/eV/f.u.; space group = R-3m (166)
1.0
3.686 0.000 0.000
1.843 3.192 0.000
1.843 1.064 13.154
Na Ac Sm
1 1 2
direct
0.000 0.000 0.000
0.500 0.500 0.500
0.909 0.909 0.272
0.091 0.091 0.728